Density functional theory data (GGA-PBE) for an optimized crystal structure of Tb2TmMg3Pd2Pt.

Values from the calculation:
The value obtained for the total energy is -0.341 Ry per atom. As for the space group: Amm2, No. 38.

Lattice parameters (Å, degrees): 4.1027 7.3764 7.3764 120.06 90.00 90.00
Positions (direct):
Tb  0.0000  0.2042  0.7958
Tb  0.0000  0.7958  0.2042
Tm  0.0000  0.3905  0.3905
Mg  0.5000  0.0412  0.0412
Mg  0.5000  0.5514  0.7949
Mg  0.5000  0.7949  0.5514
Pd  0.5000  0.1324  0.4616
Pd  0.5000  0.4616  0.1324
Pt  0.0000  0.7926  0.7926

---

Density functional theory data (GGA-PBE) for an optimized crystal structure of Sr2TmTaO6.

Values from the calculation:
The value obtained for the total energy is -0.600 Ry per atom. As for the space group: P2_1/c, No. 14.

Lattice parameters (Å, degrees): 5.7784 5.8340 10.0126 90.00 125.08 90.00
Positions (direct):
Sr  0.2422  0.0330  0.2503
Sr  0.2422  0.4670  0.7503
Sr  0.7578  0.5330  0.2497
Sr  0.7578  0.9670  0.7497
Tm  0.5000  0.0000  0.0000
Tm  0.5000  0.5000  0.5000
Ta  0.0000  0.0000  0.5000
Ta  0.0000  0.5000  0.0000
O  0.1557  0.2249  0.9563
O  0.1557  0.2751  0.4563
O  0.2329  0.7019  0.9591
O  0.2329  0.7981  0.4591
O  0.3169  0.0208  0.7373
O  0.3169  0.4792  0.2373
O  0.6831  0.5208  0.7627
O  0.6831  0.9792  0.2627
O  0.7671  0.2019  0.5409
O  0.7671  0.2981  0.0409
O  0.8443  0.7249  0.5437
O  0.8443  0.7751  0.0437

---

Copy entry 1 word for word.
Density functional theory data (GGA-PBE) for an optimized crystal structure of Tb2TmMg3Pd2Pt.

Values from the calculation:
The value obtained for the total energy is -0.341 Ry per atom. As for the space group: Amm2, No. 38.

Lattice parameters (Å, degrees): 4.1027 7.3764 7.3764 120.06 90.00 90.00
Positions (direct):
Tb  0.0000  0.2042  0.7958
Tb  0.0000  0.7958  0.2042
Tm  0.0000  0.3905  0.3905
Mg  0.5000  0.0412  0.0412
Mg  0.5000  0.5514  0.7949
Mg  0.5000  0.7949  0.5514
Pd  0.5000  0.1324  0.4616
Pd  0.5000  0.4616  0.1324
Pt  0.0000  0.7926  0.7926